[1]
GGA-PBE Tb6NdHo12, relaxed; Fermi-level density of states = 30.7 states/eV per cell; volume = 614.7 Å³ per cell; raw total energy = -84.50 eV per formula unit; symmetry = R-3 (148)
1.0
5.9354 3.4268 5.0372
-5.9354 3.4268 5.0372
0.0000 -6.8536 5.0372
Tb Nd Ho
6 1 12
Cartesian
-3.3864 -0.8183 7.7262 Tb
-0.9845 -3.3418 7.3854 Tb
-2.4019 2.5235 7.3854 Tb
2.4019 -2.5235 7.7262 Tb
0.9845 3.3418 7.7262 Tb
3.3864 0.8183 7.3854 Tb
0.0000 0.0000 7.5558 Nd
-5.2960 1.4910 6.3097 Ho
-3.9393 -3.8410 8.8019 Ho
-2.0466 0.2027 4.6571 Ho
1.3567 -5.3320 6.3097 Ho
0.8478 -1.8737 4.6571 Ho
1.1988 1.6711 4.6571 Ho
-1.1988 -1.6711 10.4545 Ho
-0.8478 1.8737 10.4545 Ho
-1.3567 5.3320 8.8019 Ho
2.0466 -0.2027 10.4545 Ho
3.9393 3.8410 6.3097 Ho
5.2960 -1.4910 8.8019 Ho

---

[2]
GGA-PBE LaMg2AgRu, relaxed; Fermi-level density of states = 2.8 states/eV per cell; volume = 135.3 Å³ per cell; raw total energy = -20.17 eV per formula unit; symmetry = P4mm (99)
1.0
5.0961 0.0000 0.0000
0.0000 5.0961 0.0000
0.0000 0.0000 5.2108
La Mg Ag Ru
1 2 1 1
Cartesian
0.0000 0.0000 0.0000 La
0.0000 2.5481 2.6184 Mg
2.5481 0.0000 2.6184 Mg
2.5481 2.5481 1.0425 Ag
0.0000 0.0000 2.7198 Ru

---

[3]
GGA-PBE Hf6Sb2C, relaxed; uncorrected formation energy = -28 meV per atom; Fermi-level density of states = 15.0 states/eV per cell; volume = 434.2 Å³ per cell; raw total energy = -77.44 eV per formula unit; symmetry = P4_2/mnm (136)
1.0
5.6354 0.0000 0.0000
0.0000 5.6354 0.0000
0.0000 0.0000 13.6722
Hf Sb C
12 4 2
Cartesian
1.0895 1.0895 1.5254 Hf
1.0895 1.0895 12.1467 Hf
1.1326 1.1326 6.8361 Hf
1.6851 3.9503 0.0000 Hf
1.7282 3.9072 5.3106 Hf
1.7282 3.9072 8.3615 Hf
3.9072 1.7282 5.3106 Hf
3.9072 1.7282 8.3615 Hf
3.9503 1.6851 0.0000 Hf
4.5028 4.5028 6.8361 Hf
4.5459 4.5459 1.5254 Hf
4.5459 4.5459 12.1467 Hf
0.0000 0.0000 4.0638 Sb
0.0000 0.0000 9.6083 Sb
2.8177 2.8177 2.7722 Sb
2.8177 2.8177 10.8999 Sb
0.0000 0.0000 0.0000 C
2.8177 2.8177 6.8361 C

---

[4]
GGA-PBE Sc4Ga2Pt, relaxed; Fermi-level density of states = 6.5 states/eV per cell; volume = 173.1 Å³ per cell; raw total energy = -39.54 eV per formula unit; symmetry = I4/mmm (139)
1.0
-2.5389 2.5389 6.7136
2.5389 -2.5389 6.7136
2.5389 2.5389 -6.7136
Sc Ga Pt
4 2 1
Cartesian
2.5389 0.0000 0.0000 Sc
0.0000 0.0000 2.5550 Sc
0.0000 2.5389 0.0000 Sc
0.0000 0.0000 10.8723 Sc
0.0000 0.0000 5.2583 Ga
0.0000 0.0000 8.1690 Ga
0.0000 0.0000 0.0000 Pt